A plane-wave DFT calculation with PBE was carried out for a relaxed structure of ZrMoRu2.

CIF file:
```
data_ZrMoRu2
_chemical_formula_sum 'Zr3 Mo3 Ru6'
_space_group_name_H-M_alt 'R -3 m'
_space_group_IT_number 166
_space_group_name_Hall '-R 3 2"'
_cell_length_a 2.8489
_cell_length_b 2.8489
_cell_length_c 27.6670
_cell_angle_alpha 90.00
_cell_angle_beta 90.00
_cell_angle_gamma 120.00
loop_
_atom_site_label
_atom_site_type_symbol
_atom_site_fract_x
_atom_site_fract_y
_atom_site_fract_z
Zr1 Zr 0.0000 0.0000 0.0000
Mo1 Mo 0.0000 0.0000 0.5000
Ru1 Ru 0.0000 0.0000 0.2442
```

Computed properties:
- Energy relative to the elements: 0.128 eV/atom
- D(E_F): 0.8453 states/eV/atom
- Energy above the lowest structure with this stoichiometry: 246 meV/atom